Crystalline TmTeAuO at its relaxed geometry. Source: OQMD via LeMat-Bulk, functional PBE.

Cell: 5.6203 10.3082 5.6397 Å, 90.00 90.00 90.00°
Space group Pcca (No. 54)
Unique sites:
Tm (0.0000, 0.1008, 0.2500) [4 per cell]
Te (0.0000, 0.2754, 0.7500) [4 per cell]
Au (0.2500, 0.5000, 0.2130) [4 per cell]
O (0.2500, 0.0000, 0.0002) [4 per cell]

* energy above the lowest structure with this stoichiometry: 0.002 eV/atom